Record 1
Density functional theory data (GGA-PBE) for an optimized crystal structure of Ca2ErRuO6.

a b c (Å): 5.5796 5.7940 9.7280
angles (deg): 90.00 124.48 90.00
Space group P2_1/c (No. 14)
Asymmetric unit:
Ca1 0.2350 0.0560 0.2511 x4
Er1 0.5000 0.0000 0.0000 x2
Ru1 0.0000 0.0000 0.5000 x2
O1 0.1212 0.2156 0.9393 x4
O2 0.2326 0.6878 0.9461 x4
O3 0.3421 0.0422 0.7340 x4

- N(E_F): 0.68 states/eV/cell
- M_tot: 3.0 μB/f.u.
- DFT total energy: -7.22 eV per atom

Record 2
Density functional theory data (GGA-PBE) for an optimized crystal structure of AcYAlGa.

a b c (Å): 7.5644 7.5644 7.5644
angles (deg): 90.00 90.00 90.00
Space group F-43m (No. 216)
Asymmetric unit:
Ac1 0.0000 0.0000 0.0000 x4
Y1 0.0000 0.0000 0.5000 x4
Al1 0.2500 0.2500 0.7500 x4
Ga1 0.2500 0.2500 0.2500 x4

- N(E_F): 5.07 states/eV/cell
- M_tot: 0.0 μB/f.u.
- DFT total energy: -4.71 eV per atom
- ΔH_f (0 K): -0.376 eV per atom

Record 3
Density functional theory data (GGA-PBE) for an optimized crystal structure of In2TePtS.

a b c (Å): 5.0784 5.0784 5.7042
angles (deg): 90.00 90.00 90.00
Space group P4mm (No. 99)
Asymmetric unit:
In1 0.0000 0.5000 0.0000 x2
Te1 0.0000 0.0000 0.6207 x1
Pt1 0.0000 0.0000 0.1785 x1
S1 0.5000 0.5000 0.8294 x1

- N(E_F): 5.29 states/eV/cell
- Offset from the most stable computed form: 0 meV/atom
- M_tot: 0.0 μB/f.u.
- DFT total energy: -3.87 eV per atom

Record 4
Density functional theory data (GGA-PBE) for an optimized crystal structure of CePu2Hg.

a b c (Å): 4.6406 4.6406 4.9312
angles (deg): 90.00 90.00 90.00
Space group P4/mmm (No. 123)
Asymmetric unit:
Ce1 0.0000 0.0000 0.0000 x1
Pu1 0.0000 0.5000 0.5000 x2
Hg1 0.5000 0.5000 0.0000 x1

- N(E_F): 11.34 states/eV/cell
- Offset from the most stable computed form: 0 meV/atom
- M_tot: 13.2 μB/f.u.
- DFT total energy: -8.75 eV per atom
- ΔH_f (0 K): -0.028 eV per atom

Record 5
Density functional theory data (GGA-PBE) for an optimized crystal structure of Ca2Ta2Te.

a b c (Å): 4.3069 4.3069 14.6656
angles (deg): 90.00 90.00 90.00
Space group I4/mmm (No. 139)
Asymmetric unit:
Ca1 0.0000 0.5000 0.2500 x4
Ta1 0.0000 0.0000 0.0806 x4
Te1 0.0000 0.0000 0.5000 x2

- N(E_F): 14.26 states/eV/cell
- Offset from the most stable computed form: 771 meV/atom
- M_tot: 0.0 μB/f.u.
- DFT total energy: -5.05 eV per atom

Record 6
Density functional theory data (GGA-PBE) for an optimized crystal structure of K2AlW.

a b c (Å): 5.7078 12.0444 2.8242
angles (deg): 90.00 90.00 90.00
Space group Cmmm (No. 65)
Asymmetric unit:
K1 0.2500 0.2500 0.0000 x4
Al1 0.0000 0.0000 0.5000 x2
W1 0.0000 0.5000 0.5000 x2

- N(E_F): 7.91 states/eV/cell
- M_tot: 0.0 μB/f.u.
- DFT total energy: -3.45 eV per atom
- ΔH_f (0 K): 1.269 eV per atom

What volume values result from the calculations? In sequence: 13.0; 27.1; 29.4; 26.5; 27.2; 24.3 A^3/atom.